(1)
GGA-PBE GaPOF2, relaxed; energy relative to the elements, uncorrected = -0.904 eV/atom; final energy = -4.332 eV per atom
1.0
3.971 0.000 0.000
0.000 3.971 0.000
0.000 0.000 3.926
Ga P O F
1 1 1 2
direct
0.000 0.000 0.000
0.500 0.500 0.500
0.000 0.000 0.500
0.000 0.500 0.000
0.500 0.000 0.000


(2)
GGA-PBE PaGaO4F, relaxed; energy relative to the elements, uncorrected = -2.599 eV/atom; final energy = -7.489 eV per atom
1.0
4.987 -3.448 0.000
4.987 3.448 0.000
-1.855 0.000 6.191
Pa Ga O F
2 2 8 2
direct
0.212 0.212 0.117
0.788 0.788 0.883
0.353 0.353 0.697
0.647 0.647 0.303
0.138 0.516 0.887
0.225 0.225 0.434
0.478 0.478 0.379
0.484 0.862 0.113
0.516 0.138 0.887
0.522 0.522 0.621
0.775 0.775 0.566
0.862 0.484 0.113
0.034 0.034 0.827
0.966 0.966 0.173


- Which value of energy relative to the elements, uncorrected does entry 2 give?
  -2.599 eV/atom


- Look up the energy relative to the elements, uncorrected of the first one.
  -0.904 eV/atom


- Look up the energy relative to the elements, uncorrected of the first one.
  -0.904 eV/atom